# PBE Nd4Sm3Sc2, optimized geometry
data_Nd4Sm3Sc2
_cell_length_a 3.5758
_cell_length_b 3.5758
_cell_length_c 26.5163
_cell_angle_alpha 90.00
_cell_angle_beta 90.00
_cell_angle_gamma 120.00
_space_group_name_H-M_alt 'P 3 m 1'
_space_group_IT_number 156
_space_group_name_Hall 'P 3 -2"'
loop_
_atom_site_label
_atom_site_type_symbol
_atom_site_fract_x
_atom_site_fract_y
_atom_site_fract_z
_atom_site_occupancy
Nd1 Nd 0.0000 0.0000 0.0000 1
Nd2 Nd 0.0000 0.0000 0.2258 1
Nd3 Nd 0.3333 0.6667 0.3416 1
Nd4 Nd 0.3333 0.6667 0.5704 1
Sm1 Sm 0.0000 0.0000 0.4550 1
Sm2 Sm 0.3333 0.6667 0.1104 1
Sm3 Sm 0.3333 0.6667 0.7767 1
Sc1 Sc 0.0000 0.0000 0.6732 1
Sc2 Sc 0.0000 0.0000 0.8775 1
# **DOS at the Fermi energy**: 1.898 states/eV/atom
# **ΔH_f (0 K)**: 103.7 meV per atom
# **Total moment**: 0.033 μB/cell